1.
# SCAN La3ZrAs, single point on PBEsol structure
# E_form = 0.24 eV per atom
# Final energy = -179.0 eV/cell
data_La3ZrAs
_space_group_name_H-M_alt 'P m -3 m'
_space_group_IT_number 221
_space_group_name_Hall '-P 4 2 3'
_cell_length_a 5.428
_cell_length_b 5.428
_cell_length_c 5.428
_cell_angle_alpha 90.00
_cell_angle_beta 90.00
_cell_angle_gamma 90.00
loop_
_atom_site_label
_atom_site_type_symbol
_atom_site_fract_x
_atom_site_fract_y
_atom_site_fract_z
La1 La 0.000 0.000 0.500
Zr1 Zr 0.000 0.000 0.000
As1 As 0.500 0.500 0.500

2.
# SCAN LaZr2As, single point on PBEsol structure
# E_form = -0.33 eV per atom
# Final energy = -252.0 eV/cell
data_LaZr2As
_space_group_name_H-M_alt 'C m m m'
_space_group_IT_number 65
_space_group_name_Hall '-C 2 2'
_cell_length_a 3.894
_cell_length_b 5.269
_cell_length_c 9.049
_cell_angle_alpha 90.00
_cell_angle_beta 90.00
_cell_angle_gamma 90.00
loop_
_atom_site_label
_atom_site_type_symbol
_atom_site_fract_x
_atom_site_fract_y
_atom_site_fract_z
La1 La 0.000 0.000 0.000
Zr1 Zr 0.000 0.500 0.303
As1 As 0.000 0.000 0.500

3.
# SCAN LiAs2, single point on PBEsol structure
# E_form = -0.21 eV per atom
# Final energy = -173.6 eV/cell
data_LiAs2
_space_group_name_H-M_alt 'C m c m'
_space_group_IT_number 63
_space_group_name_Hall '-C 2c 2'
_cell_length_a 9.138
_cell_length_b 4.991
_cell_length_c 4.993
_cell_angle_alpha 90.00
_cell_angle_beta 90.00
_cell_angle_gamma 90.00
loop_
_atom_site_label
_atom_site_type_symbol
_atom_site_fract_x
_atom_site_fract_y
_atom_site_fract_z
Li1 Li 0.000 0.249 0.250
As1 As 0.202 0.250 0.750

4.
# SCAN Li4As, single point on PBEsol structure
# E_form = -0.50 eV per atom
# Final energy = -64.5 eV/cell
data_Li4As
_space_group_name_H-M_alt 'I 4/m'
_space_group_IT_number 87
_space_group_name_Hall '-I 4'
_cell_length_a 6.010
_cell_length_b 6.010
_cell_length_c 4.148
_cell_angle_alpha 90.00
_cell_angle_beta 90.00
_cell_angle_gamma 90.00
loop_
_atom_site_label
_atom_site_type_symbol
_atom_site_fract_x
_atom_site_fract_y
_atom_site_fract_z
Li1 Li 0.118 0.286 0.000
As1 As 0.000 0.000 0.500

5.
# SCAN LiAs2, single point on PBEsol structure
# E_form = -0.30 eV per atom
# Final energy = -174.6 eV/cell
data_LiAs2
_space_group_name_H-M_alt 'C 1 2/m 1'
_space_group_IT_number 12
_cell_length_a 11.470
_cell_length_b 3.701
_cell_length_c 6.745
_cell_angle_alpha 90.00
_cell_angle_beta 123.19
_cell_angle_gamma 90.00
loop_
_space_group_symop_operation_xyz
'x,y,z'
'-x,-y,-z'
'-x,y,-z'
'x,-y,z'
'x+1/2,y+1/2,z'
'-x+1/2,-y+1/2,-z'
'-x+1/2,y+1/2,-z'
'x+1/2,-y+1/2,z'
loop_
_atom_site_label
_atom_site_type_symbol
_atom_site_fract_x
_atom_site_fract_y
_atom_site_fract_z
Li1 Li 0.229 0.000 0.172
As1 As 0.025 0.000 0.702
As2 As 0.137 0.500 0.356

6.
# SCAN LiAs2, single point on PBEsol structure
# E_form = -0.30 eV per atom
# Final energy = -174.6 eV/cell
data_LiAs2
_space_group_name_H-M_alt 'C 1 2/m 1'
_space_group_IT_number 12
_cell_length_a 11.072
_cell_length_b 3.985
_cell_length_c 5.504
_cell_angle_alpha 90.00
_cell_angle_beta 100.89
_cell_angle_gamma 90.00
loop_
_space_group_symop_operation_xyz
'x,y,z'
'-x,-y,-z'
'-x,y,-z'
'x,-y,z'
'x+1/2,y+1/2,z'
'-x+1/2,-y+1/2,-z'
'-x+1/2,y+1/2,-z'
'x+1/2,-y+1/2,z'
loop_
_atom_site_label
_atom_site_type_symbol
_atom_site_fract_x
_atom_site_fract_y
_atom_site_fract_z
Li1 Li 0.117 0.000 0.467
As1 As 0.008 0.500 0.783
As2 As 0.230 0.500 0.855

7.
# SCAN Li5As3, single point on PBEsol structure
# E_form = -0.57 eV per atom
# Final energy = -154.1 eV/cell
data_Li5As3
_space_group_name_H-M_alt 'C m m m'
_space_group_IT_number 65
_space_group_name_Hall '-C 2 2'
_cell_length_a 7.814
_cell_length_b 7.872
_cell_length_c 3.918
_cell_angle_alpha 90.00
_cell_angle_beta 90.00
_cell_angle_gamma 90.00
loop_
_atom_site_label
_atom_site_type_symbol
_atom_site_fract_x
_atom_site_fract_y
_atom_site_fract_z
Li1 Li 0.000 0.000 0.000
Li2 Li 0.000 0.270 0.500
Li3 Li 0.250 0.250 0.000
As1 As 0.000 0.500 0.000
As2 As 0.228 0.000 0.500

8.
# SCAN LiAs2, single point on PBEsol structure
# E_form = -0.27 eV per atom
# Final energy = -87.2 eV/cell
data_LiAs2
_space_group_name_H-M_alt 'P n n m'
_space_group_IT_number 58
_cell_length_a 3.525
_cell_length_b 6.937
_cell_length_c 4.851
_cell_angle_alpha 90.00
_cell_angle_beta 90.00
_cell_angle_gamma 90.00
loop_
_space_group_symop_operation_xyz
'x,y,z'
'-x,-y,-z'
'-x,-y,z'
'x,y,-z'
'x+1/2,-y+1/2,-z+1/2'
'-x+1/2,y+1/2,z+1/2'
'-x+1/2,y+1/2,-z+1/2'
'x+1/2,-y+1/2,z+1/2'
loop_
_atom_site_label
_atom_site_type_symbol
_atom_site_fract_x
_atom_site_fract_y
_atom_site_fract_z
Li1 Li 0.000 0.000 0.000
As1 As 0.248 0.380 0.000

Number 1: spin magnetization 0.000 μB per cell. Number 2: spin magnetization 0.001 μB per cell. Number 3: spin magnetization 0.000 μB per cell. Number 4: spin magnetization 0.442 μB per cell. Number 5: spin magnetization 0.000 μB per cell. Number 6: spin magnetization 0.002 μB per cell. Number 7: spin magnetization 0.000 μB per cell. Number 8: spin magnetization 0.000 μB per cell.